Entry 1:
Density functional theory data (PBE-GGA) for an optimized crystal structure of SrRe2Ir.

POSCAR file:
```
SrRe2Ir
1.0
2.877 0.000 0.000
0.000 4.832 0.000
0.000 0.000 5.128
Sr Re Ir
1 2 1
Direct
0.000 0.000 0.000 Sr
0.000 0.500 0.500 Re
0.500 0.000 0.500 Re
0.500 0.500 0.000 Ir
```

Values from the calculation:
D(E_F) = 1.0235 states/eV/atom
energy relative to the elements = 0.91 eV per atom
spin magnetization = 0.00 μB/f.u.
crystal system = orthorhombic
relative energy among the computed polymorphs = 469 meV/atom

Entry 2:
Density functional theory data (PBE-GGA) for an optimized crystal structure of Ag3GeCl2F6.

POSCAR file:
```
Ag3GeCl2F6
1.0
6.358 -3.263 0.000
6.358 3.263 0.000
-0.056 0.000 4.997
Ag Ge Cl F
3 1 2 6
Direct
0.000 0.000 0.000 Ag
0.000 0.500 0.500 Ag
0.500 0.000 0.500 Ag
0.500 0.500 0.500 Ge
0.185 0.185 0.163 Cl
0.815 0.815 0.837 Cl
0.234 0.639 0.296 F
0.361 0.766 0.704 F
0.384 0.384 0.714 F
0.616 0.616 0.286 F
0.639 0.234 0.296 F
0.766 0.361 0.704 F
```

Values from the calculation:
D(E_F) = 0.7173 states/eV/atom
spin magnetization = 0.00 μB/f.u.
formation energy without anion corrections = -1.476 eV/atom
crystal system = monoclinic

Entry 3:
Density functional theory data (PBE-GGA) for an optimized crystal structure of Ac3RuI.

POSCAR file:
```
Ac3RuI
1.0
4.415 0.000 0.000
0.000 7.677 0.000
0.000 0.000 10.872
Ac Ru I
6 2 2
Direct
0.250 0.000 0.142 Ac
0.250 0.250 0.612 Ac
0.250 0.500 0.142 Ac
0.750 0.000 0.858 Ac
0.750 0.500 0.858 Ac
0.750 0.750 0.388 Ac
0.250 0.250 0.898 Ru
0.750 0.750 0.102 Ru
0.250 0.750 0.647 I
0.750 0.250 0.353 I
```

Values from the calculation:
D(E_F) = 0.8934 states/eV/atom
spin magnetization = 0.00 μB/f.u.
formation energy without anion corrections = -0.462 eV/atom
crystal system = orthorhombic
relative energy among the computed polymorphs = 5 meV/atom

Entry 4:
Density functional theory data (PBE-GGA) for an optimized crystal structure of Sr3La2NdTe6.

POSCAR file:
```
Sr3La2NdTe6
1.0
10.172 -2.300 0.000
10.172 2.300 0.000
-2.378 0.000 9.034
Sr La Nd Te
3 2 1 6
Direct
0.000 0.000 0.000 Sr
0.333 0.333 0.667 Sr
0.667 0.667 0.333 Sr
0.335 0.335 0.171 La
0.665 0.665 0.829 La
0.000 0.000 0.500 Nd
0.164 0.164 0.584 Te
0.168 0.168 0.079 Te
0.500 0.500 0.256 Te
0.500 0.500 0.744 Te
0.832 0.832 0.921 Te
0.836 0.836 0.416 Te
```

Values from the calculation:
D(E_F) = 0.4815 states/eV/atom
spin magnetization = 0.00 μB/f.u.
formation energy without anion corrections = -1.606 eV/atom
crystal system = monoclinic

Entry 5:
Density functional theory data (PBE-GGA) for an optimized crystal structure of Li2YPPb.

POSCAR file:
```
Li2YPPb
1.0
4.697 0.000 0.000
0.000 4.697 0.000
0.000 0.000 5.402
Li Y P Pb
2 1 1 1
Direct
0.000 0.500 0.000 Li
0.500 0.000 0.000 Li
0.000 0.000 0.500 Y
0.000 0.000 0.000 P
0.500 0.500 0.500 Pb
```

Values from the calculation:
D(E_F) = 0.5647 states/eV/atom
energy relative to the elements = -0.55 eV per atom
spin magnetization = 0.00 μB/f.u.
crystal system = tetragonal

Entry 6:
Density functional theory data (PBE-GGA) for an optimized crystal structure of BeC2.

POSCAR file:
```
BeC2
1.0
4.820 0.000 0.000
-2.410 4.174 0.000
0.000 0.000 4.027
Be C
3 6
Direct
0.000 0.000 0.000 Be
0.333 0.667 0.500 Be
0.667 0.333 0.500 Be
0.000 0.251 0.385 C
0.000 0.749 0.615 C
0.251 0.000 0.385 C
0.251 0.251 0.615 C
0.749 0.000 0.615 C
0.749 0.749 0.385 C
```

Values from the calculation:
D(E_F) = 0.2587 states/eV/atom
energy relative to the elements = 1.20 eV per atom
spin magnetization = 0.00 μB/f.u.
crystal system = trigonal
relative energy among the computed polymorphs = 811 meV/atom